# Ca2Cd16Sb (PBE, optimized geometry)
# Formation energy (no corrections), eV/f.u.: -2.43
data_Ca2Cd16Sb
_chemical_formula_sum 'Ca6 Cd48 Sb3'
_cell_length_a 10.3608
_cell_length_b 10.3608
_cell_length_c 14.7773
_cell_angle_alpha 90.00
_cell_angle_beta 90.00
_cell_angle_gamma 120.00
_symmetry_space_group_name_H-M 'R 3 m'
_symmetry_Int_Tables_number 160
_symmetry_space_group_name_Hall 'R 3 -2"'
loop_
_atom_site_label
_atom_site_fract_x
_atom_site_fract_y
_atom_site_fract_z
Ca1 0.0000 0.0000 0.0000
Ca2 0.0000 0.0000 0.3263
Cd1 0.0000 0.0000 0.7470
Cd2 0.0193 0.3504 0.3297
Cd3 0.1697 0.3394 0.1499
Cd4 0.1861 0.3722 0.8378
Cd5 0.1871 0.3742 0.5019
Sb1 0.0000 0.0000 0.5467

---

# RbBa2GaP (PBE, optimized geometry)
# DFT formation energy, eV/atom: -0.180
data_RbBa2GaP
_chemical_formula_sum 'Rb1 Ba2 Ga1 P1'
_cell_length_a 6.390
_cell_length_b 6.390
_cell_length_c 5.182
_cell_angle_alpha 90.00
_cell_angle_beta 90.00
_cell_angle_gamma 90.00
_symmetry_space_group_name_H-M 'P 4/m m m'
_symmetry_Int_Tables_number 123
_symmetry_space_group_name_Hall '-P 4 2'
loop_
_atom_site_label
_atom_site_fract_x
_atom_site_fract_y
_atom_site_fract_z
Rb1 0.000 0.000 0.000
Ba1 0.000 0.500 0.500
Ga1 0.500 0.500 0.000
P1 0.500 0.500 0.500

---

# Sr2AlPdAu6 (PBE, optimized geometry)
# DFT formation energy, eV/atom: -0.526
data_Sr2AlPdAu6
_chemical_formula_sum 'Sr4 Al2 Pd2 Au12'
_cell_length_a 12.582
_cell_length_b 5.509
_cell_length_c 9.085
_cell_angle_alpha 90.00
_cell_angle_beta 130.91
_cell_angle_gamma 90.00
_symmetry_space_group_name_H-M 'C 1 2/m 1'
_symmetry_Int_Tables_number 12
_symmetry_space_group_name_Hall '-C 2y'
loop_
_atom_site_label
_atom_site_fract_x
_atom_site_fract_y
_atom_site_fract_z
Sr1 0.223 0.000 0.179
Al1 0.000 0.000 0.500
Pd1 0.000 0.500 0.000
Au1 0.001 0.253 0.736
Au2 0.250 0.000 0.616

---

# Rb4Ac6F19 (PBE, optimized geometry)
# Formation energy (no corrections), eV/f.u.: -101.26
data_Rb4Ac6F19
_chemical_formula_sum 'Rb8 Ac12 F38'
_cell_length_a 11.345
_cell_length_b 11.345
_cell_length_c 11.345
_cell_angle_alpha 90.00
_cell_angle_beta 90.00
_cell_angle_gamma 90.00
_symmetry_space_group_name_H-M 'I 2 3'
_symmetry_Int_Tables_number 197
_symmetry_space_group_name_Hall 'I 2 2 3'
loop_
_atom_site_label
_atom_site_fract_x
_atom_site_fract_y
_atom_site_fract_z
Rb1 0.135 0.135 0.865
Ac1 0.000 0.330 0.500
F1 0.000 0.000 0.000
F2 0.000 0.000 0.354
F3 0.027 0.316 0.716

---

# Be3TlMo (PBE, optimized geometry)
# DFT formation energy, eV/atom: 1.232
data_Be3TlMo
_chemical_formula_sum 'Be3 Tl1 Mo1'
_cell_length_a 4.421
_cell_length_b 4.421
_cell_length_c 4.421
_cell_angle_alpha 90.00
_cell_angle_beta 90.00
_cell_angle_gamma 90.00
_symmetry_space_group_name_H-M 'P m -3 m'
_symmetry_Int_Tables_number 221
_symmetry_space_group_name_Hall '-P 4 2 3'
loop_
_atom_site_label
_atom_site_fract_x
_atom_site_fract_y
_atom_site_fract_z
Be1 0.000 0.000 0.500
Tl1 0.500 0.500 0.500
Mo1 0.000 0.000 0.000

---

# ThTlHgPb (PBE, optimized geometry)
# DFT formation energy, eV/atom: -0.032
data_ThTlHgPb
_chemical_formula_sum 'Th4 Tl4 Hg4 Pb4'
_cell_length_a 7.701
_cell_length_b 7.701
_cell_length_c 7.701
_cell_angle_alpha 90.00
_cell_angle_beta 90.00
_cell_angle_gamma 90.00
_symmetry_space_group_name_H-M 'F -4 3 m'
_symmetry_Int_Tables_number 216
_symmetry_space_group_name_Hall 'F -4 2 3'
loop_
_atom_site_label
_atom_site_fract_x
_atom_site_fract_y
_atom_site_fract_z
Th1 0.000 0.000 0.000
Tl1 0.250 0.250 0.750
Hg1 0.250 0.250 0.250
Pb1 0.000 0.000 0.500

---

# Zn2SnHg2 (PBE, optimized geometry)
# DFT formation energy, eV/atom: 0.134
data_Zn2SnHg2
_chemical_formula_sum 'Zn4 Sn2 Hg4'
_cell_length_a 4.000
_cell_length_b 4.000
_cell_length_c 13.949
_cell_angle_alpha 90.00
_cell_angle_beta 90.00
_cell_angle_gamma 90.00
_symmetry_space_group_name_H-M 'I 4/m m m'
_symmetry_Int_Tables_number 139
_symmetry_space_group_name_Hall '-I 4 2'
loop_
_atom_site_label
_atom_site_fract_x
_atom_site_fract_y
_atom_site_fract_z
Zn1 0.000 0.500 0.250
Sn1 0.000 0.000 0.000
Hg1 0.000 0.000 0.390

---

# Tm6Sb3AsS2 (PBE, optimized geometry)
# Formation energy (no corrections), eV/f.u.: -16.82
data_Tm6Sb3AsS2
_chemical_formula_sum 'Tm12 Sb6 As2 S4'
_cell_length_a 7.142
_cell_length_b 12.380
_cell_length_c 7.180
_cell_angle_alpha 90.00
_cell_angle_beta 109.32
_cell_angle_gamma 90.00
_symmetry_space_group_name_H-M 'C 1 2/m 1'
_symmetry_Int_Tables_number 12
_symmetry_space_group_name_Hall '-C 2y'
loop_
_atom_site_label
_atom_site_fract_x
_atom_site_fract_y
_atom_site_fract_z
Tm1 0.241 0.000 0.228
Tm2 0.244 0.333 0.230
Sb1 0.000 0.000 0.500
Sb2 0.000 0.334 0.500
As1 0.000 0.500 0.000
S1 0.000 0.167 0.000

---

# Pr2ErAg2 (PBE, optimized geometry)
# DFT formation energy, eV/atom: -0.160
data_Pr2ErAg2
_chemical_formula_sum 'Pr8 Er4 Ag8'
_cell_length_a 12.271
_cell_length_b 4.936
_cell_length_c 10.893
_cell_angle_alpha 90.00
_cell_angle_beta 120.71
_cell_angle_gamma 90.00
_symmetry_space_group_name_H-M 'C 1 2/m 1'
_symmetry_Int_Tables_number 12
_symmetry_space_group_name_Hall '-C 2y'
loop_
_atom_site_label
_atom_site_fract_x
_atom_site_fract_y
_atom_site_fract_z
Pr1 0.032 0.000 0.191
Pr2 0.180 0.000 0.592
Er1 0.203 0.500 0.856
Ag1 0.047 0.500 0.401
Ag2 0.133 0.500 0.073

---

# LiErPb2Se4 (PBE, optimized geometry)
# Formation energy (no corrections), eV/f.u.: -8.60
data_LiErPb2Se4
_chemical_formula_sum 'Li1 Er1 Pb2 Se4'
_cell_length_a 7.203
_cell_length_b 4.201
_cell_length_c 7.374
_cell_angle_alpha 90.00
_cell_angle_beta 108.59
_cell_angle_gamma 90.00
_symmetry_space_group_name_H-M 'P 1 2/m 1'
_symmetry_Int_Tables_number 10
_symmetry_space_group_name_Hall '-P 2y'
loop_
_atom_site_label
_atom_site_fract_x
_atom_site_fract_y
_atom_site_fract_z
Li1 0.000 0.000 0.000
Er1 0.500 0.500 0.000
Pb1 0.000 0.500 0.500
Pb2 0.500 0.000 0.500
Se1 0.245 0.500 0.224
Se2 0.258 0.000 0.778

---

# BaCa4Sb (PBE, optimized geometry)
# Formation energy (no corrections), eV/f.u.: 0.20
data_BaCa4Sb
_chemical_formula_sum 'Ba4 Ca16 Sb4'
_cell_length_a 9.965
_cell_length_b 9.965
_cell_length_c 9.965
_cell_angle_alpha 90.00
_cell_angle_beta 90.00
_cell_angle_gamma 90.00
_symmetry_space_group_name_H-M 'F -4 3 m'
_symmetry_Int_Tables_number 216
_symmetry_space_group_name_Hall 'F -4 2 3'
loop_
_atom_site_label
_atom_site_fract_x
_atom_site_fract_y
_atom_site_fract_z
Ba1 0.000 0.000 0.000
Ca1 0.124 0.124 0.624
Sb1 0.250 0.250 0.250

---

# Mg5AgS6 (PBE, optimized geometry)
# Formation energy (no corrections), eV/f.u.: -13.55
data_Mg5AgS6
_chemical_formula_sum 'Mg10 Ag2 S12'
_cell_length_a 6.503
_cell_length_b 11.083
_cell_length_c 6.502
_cell_angle_alpha 90.00
_cell_angle_beta 111.27
_cell_angle_gamma 90.00
_symmetry_space_group_name_H-M 'C 1 2/m 1'
_symmetry_Int_Tables_number 12
_symmetry_space_group_name_Hall '-C 2y'
loop_
_atom_site_label
_atom_site_fract_x
_atom_site_fract_y
_atom_site_fract_z
Mg1 0.000 0.000 0.000
Mg2 0.000 0.165 0.500
Mg3 0.000 0.340 0.000
Ag1 0.000 0.500 0.500
S1 0.233 0.000 0.762
S2 0.246 0.331 0.750